InMoF6, relaxed, DFT PBE+U; total DFT energy (no corrections) = -5.12 eV/atom; density of states at the Fermi level = 0.0 states/eV per cell; crystal system = monoclinic; space group = No. 12
1.0
2.685 -4.360 0.000
2.685 4.360 0.000
-1.162 0.000 5.246
In Mo F
1 1 6
Direct
0.000 0.000 0.000 In
0.500 0.500 0.500 Mo
0.103 0.401 0.250 F
0.249 0.249 0.748 F
0.401 0.103 0.250 F
0.599 0.897 0.750 F
0.751 0.751 0.252 F
0.897 0.599 0.750 F